Entry 1:
Tb12Pm7Tm, relaxed, DFT GGA-PBE; crystal system = trigonal; DFT formation energy = 0.23 eV per atom; offset from the most stable computed form = 0 meV per atom
1.0
8.4830 1.2879 1.9331
-1.1217 8.5066 1.9331
-1.1217 -1.4924 8.5948
Tb Pm Tm
12 7 1
Direct
0.8532 0.2510 0.7285
0.7490 0.2715 0.1468
0.6165 0.1345 0.4966
0.8655 0.5034 0.3835
0.2715 0.1468 0.7490
0.5034 0.3835 0.8655
0.4966 0.6165 0.1345
0.7285 0.8532 0.2510
0.1345 0.4966 0.6165
0.3835 0.8655 0.5034
0.2510 0.7285 0.8532
0.1468 0.7490 0.2715
0.8465 0.6013 0.9210
0.3987 0.0790 0.1535
0.0790 0.1535 0.3987
0.5000 0.5000 0.5000
0.9210 0.8465 0.6013
0.6013 0.9210 0.8465
0.1535 0.3987 0.0790
0.0000 0.0000 0.0000

Entry 2:
Y2AlInAu, relaxed, DFT GGA-PBE; crystal system = tetragonal; DFT formation energy = 0.27 eV per atom
1.0
-2.3304 -5.5687 0.1864
3.8669 -1.4709 4.4000
-3.5856 1.6242 3.6942
Y Au Al In
2 1 1 1
Direct
0.0000 0.5000 0.0000
0.5000 0.0000 0.0000
0.0000 0.0000 0.0000
0.5000 0.5000 0.5000
0.0000 0.0000 0.5000

Entry 3:
ZrTi2Pb, relaxed, DFT GGA-PBE; crystal system = orthorhombic; DFT formation energy = 0.21 eV per atom
1.0
4.9933 -0.0017 0.0000
-2.4932 4.3257 0.0000
0.0000 0.0000 8.0653
Zr Ti Pb
2 4 2
Direct
0.4995 0.0000 0.7500
0.5005 0.0000 0.2500
0.1672 0.3332 0.4026
0.8328 0.6668 0.5974
0.1672 0.3332 0.0974
0.8328 0.6668 0.9026
0.8339 0.6665 0.2500
0.1661 0.3335 0.7500

Entry 4:
Pr6ErIn4, relaxed, DFT GGA-PBE; crystal system = tetragonal; DFT formation energy = -0.21 eV per atom
1.0
9.2400 -1.7173 -2.5256
-5.7948 7.3991 2.5256
-5.7948 -0.3717 7.8094
Pr Er In
6 1 4
Direct
0.0000 0.9144 0.4415
0.0000 0.4415 0.9144
0.5271 0.0856 0.0856
0.5000 0.0000 0.5000
0.4729 0.5585 0.5585
0.5000 0.5000 0.0000
0.0000 0.0000 0.0000
0.0000 0.1048 0.6286
0.4762 0.3714 0.3714
0.0000 0.6286 0.1048
0.5238 0.8952 0.8952

Among the records above, which one has the highest DFT formation energy? Y2AlInAu